Entry 1:
A relaxed structure of AcCeGdSb, computed with PBE-GGA.

Summary:
As for the uncorrected formation energy: -0.22 eV/atom. For the calculated total energy, the calculation gives -7.282 eV/atom. As for the space-group type: No. 216. The crystal system is cubic.

abc: 5.587 5.587 5.587
angles: 60.00 60.00 60.00
Site moments in Bohr magnetons follow the coordinates.
Fractional positions:
Sb (0.000, 0.000, 0.000)  -0.03
Ce (0.250, 0.250, 0.250)  0.88
Ac (0.500, 0.500, 0.500)  0.23
Gd (0.750, 0.750, 0.750)  7.23

***

Entry 2:
A relaxed structure of SiTeW2, computed with PBE-GGA.

Summary:
As for the uncorrected formation energy: 0.54 eV/atom. For the calculated total energy, the calculation gives -8.082 eV/atom. As for the space-group type: No. 123. The crystal system is tetragonal. The excess energy over the best structure of this formula in the dataset comes out at 242 meV/atom.

abc: 4.522 4.522 3.219
angles: 90.00 90.00 90.00
Fractional positions:
W (0.500, 0.500, 0.000)
W (0.000, 0.000, 0.000)
Te (0.000, 0.500, 0.500)
Si (0.500, 0.000, 0.500)

***

Entry 3:
A relaxed structure of LiTmHfGa, computed with PBE-GGA.

Summary:
For the calculated total energy, the calculation gives -5.003 eV/atom. As for the space-group type: No. 216. Its formation energy is -0.16 eV/atom. The crystal system is cubic.

abc: 4.831 4.831 4.831
angles: 60.00 60.00 60.00
Fractional positions:
Li (0.500, 0.500, 0.500)
Tm (0.750, 0.750, 0.750)
Ga (0.000, 0.000, 0.000)
Hf (0.250, 0.250, 0.250)

***

Entry 4:
A relaxed structure of SrRh2Au, computed with PBE-GGA.

Summary:
For the calculated total energy, the calculation gives -4.856 eV/atom. As for the space-group type: No. 8. Its formation energy is 0.06 eV/atom. The crystal system is monoclinic.

abc: 4.791 4.791 5.919
angles: 80.36 80.36 37.99
Fractional positions:
Rh (0.263, 0.263, 0.167)
Rh (0.998, 0.998, 0.040)
Au (0.737, 0.737, 0.800)
Sr (0.503, 0.503, 0.494)

***

Entry 5:
A relaxed structure of SrFe4Cl, computed with PBE-GGA.

Summary:
As for the uncorrected formation energy: 0.46 eV/atom. For the calculated total energy, the calculation gives -5.772 eV/atom. As for the space-group type: No. 216. The crystal system is cubic.

abc: 5.286 5.286 5.286
angles: 60.00 60.00 60.00
Site moments in Bohr magnetons follow the coordinates.
Fractional positions:
Fe (0.379, 0.379, 0.862)  2.72
Fe (0.862, 0.379, 0.379)  2.72
Fe (0.379, 0.379, 0.379)  2.72
Fe (0.379, 0.862, 0.379)  2.72
Sr (0.750, 0.750, 0.750)  -0.11
Cl (0.000, 0.000, 0.000)  0.14

***

Entry 6:
A relaxed structure of DyW4, computed with PBE-GGA.

Summary:
For the calculated total energy, the calculation gives -8.030 eV/atom. As for the space-group type: No. 221. Its formation energy is 3.25 eV/atom. The crystal system is cubic.

abc: 4.695 4.695 4.695
angles: 90.00 90.00 90.00
Fractional positions:
W (0.500, 0.500, 0.000)
W (0.000, 0.500, 0.500)
W (0.000, 0.000, 0.000)
W (0.500, 0.000, 0.500)
Dy (0.500, 0.500, 0.500)

***

Entry 7:
A relaxed structure of LaCePtO6, computed with PBE-GGA.

Summary:
As for the uncorrected formation energy: -2.20 eV/atom. For the calculated total energy, the calculation gives -7.383 eV/atom. As for the space-group type: No. 163. The crystal system is trigonal.

abc: 5.579 5.579 10.251
angles: 90.00 90.00 120.00
Site moments in Bohr magnetons follow the coordinates.
Fractional positions:
O (0.033, 0.663, 0.861)  0.04
O (0.663, 0.629, 0.139)  0.04
O (0.337, 0.967, 0.639)  0.04
O (0.629, 0.967, 0.861)  0.04
O (0.967, 0.337, 0.139)  0.04
O (0.663, 0.033, 0.361)  0.04
O (0.629, 0.663, 0.639)  0.04
O (0.371, 0.337, 0.361)  0.04
O (0.337, 0.371, 0.861)  0.04
O (0.967, 0.629, 0.361)  0.04
O (0.033, 0.371, 0.639)  0.04
O (0.371, 0.033, 0.139)  0.04
Pt (0.667, 0.333, 0.250)  0.17
Pt (0.333, 0.667, 0.750)  0.17
La (0.000, 0.000, 0.000)  0.01
La (0.000, 0.000, 0.500)  0.01
Ce (0.333, 0.667, 0.250)  0.01
Ce (0.667, 0.333, 0.750)  0.01

***

Entry 8:
A relaxed structure of SmGa5Pd2Pt, computed with PBE-GGA.

Summary:
For the calculated total energy, the calculation gives -4.476 eV/atom. As for the space-group type: No. 123. Its formation energy is -0.44 eV/atom. The crystal system is tetragonal.

abc: 4.269 4.269 10.305
angles: 90.00 90.00 90.00
Fractional positions:
Sm (0.000, 0.000, 0.500)
Ga (0.000, 0.500, 0.854)
Ga (0.500, 0.500, 0.500)
Ga (0.500, 0.000, 0.146)
Ga (0.500, 0.000, 0.854)
Ga (0.000, 0.500, 0.146)
Pt (0.000, 0.000, 0.000)
Pd (0.500, 0.500, 0.272)
Pd (0.500, 0.500, 0.728)